(1)
DFT (PBE) results for PaTeNO after structural relaxation.

Values from the calculation:
Distance to the lowest polymorph of the same formula, eV/atom: 0.081
Total moment, μB per formula unit: 0.00
Crystal system: orthorhombic

Cell lengths 4.185, 6.033, 6.986 Å; angles 90.00, 90.00, 90.00 degrees
Positions (direct):
N 0.000 0.735 0.106
N 0.000 0.265 0.606
O 0.500 0.039 0.240
O 0.500 0.961 0.740
Pa 0.500 0.803 0.011
Pa 0.500 0.197 0.511
Te 0.000 0.577 0.388
Te 0.000 0.423 0.888



(2)
DFT (PBE) results for ScSiAu2 after structural relaxation.

Values from the calculation:
Total moment, μB per formula unit: 0.00
Raw total energy, eV per atom: -4.937
Crystal system: cubic

Cell lengths 4.658, 4.658, 4.658 Å; angles 60.00, 60.00, 60.00 degrees
Positions (direct):
Au 0.000 0.000 0.000
Au 0.750 0.750 0.750
Sc 0.250 0.250 0.250
Si 0.500 0.500 0.500



(3)
DFT (PBE) results for HoInGa after structural relaxation.

Values from the calculation:
Distance to the lowest polymorph of the same formula, eV/atom: 0.000
Total moment, μB per formula unit: 0.00
Crystal system: cubic

Cell lengths 4.733, 4.733, 4.733 Å; angles 60.00, 60.00, 60.00 degrees
Positions (direct):
Ga 0.000 0.000 0.000
Ho 0.250 0.250 0.250
In 0.750 0.750 0.750



(4)
DFT (PBE) results for Cd2Ag9 after structural relaxation.

Values from the calculation:
Energy of formation from the pure elements, eV per atom: 0.0189
Crystal system: trigonal

Cell lengths 2.939, 2.939, 34.735 Å; angles 90.00, 90.00, 120.00 degrees
Positions (direct):
Ag 0.000 0.000 0.000
Ag 0.667 0.333 0.069
Ag 0.333 0.667 0.137
Ag 0.000 0.000 0.206
Ag 0.667 0.333 0.275
Ag 0.333 0.667 0.725
Ag 0.000 0.000 0.794
Ag 0.667 0.333 0.863
Ag 0.333 0.667 0.931
Cd 0.333 0.667 0.351
Cd 0.667 0.333 0.649



(5)
DFT (PBE) results for Li2Zr2Al2NiPt after structural relaxation.

Values from the calculation:
Total moment, μB per formula unit: 0.00
Raw total energy, eV per atom: -5.688
Crystal system: tetragonal

Cell lengths 4.425, 4.425, 6.285 Å; angles 90.00, 90.00, 90.00 degrees
Positions (direct):
Al 0.500 0.000 0.246
Al 0.000 0.500 0.754
Li 0.500 0.500 0.000
Li 0.000 0.000 0.500
Ni 0.000 0.000 0.000
Pt 0.500 0.500 0.500
Zr 0.000 0.500 0.238
Zr 0.500 0.000 0.762



- Which formula does entry 1 have?
  PaTeNO



- Which formula does entry 1 have?
  PaTeNO